Record 1
VASP calculation (PBE) on a geometry-optimized Tm5Te2Rh2 structure.

Summary:
* M_tot: 0.0 μB per formula unit
* density: 9.5 g/cm³
* E_form (uncorrected): -1.04 eV/atom
* calculated volume: 455.8 Å³/cell
* E: -5.8518 eV per atom

Unit cell a=7.687 b=7.660 c=8.643 alpha=90.00 beta=63.60 gamma=90.00
Atoms (fractional coordinates):
Tm1 0.275 0.658 0.768
Tm2 0.000 0.000 0.000
Tm3 0.457 0.158 0.768
Tm4 0.543 0.842 0.232
Tm5 0.725 0.342 0.232
Tm6 0.957 0.342 0.768
Tm7 0.775 0.842 0.768
Tm8 0.225 0.158 0.232
Tm9 0.043 0.658 0.232
Tm10 0.500 0.500 0.000
Te1 0.789 0.000 0.422
Te2 0.289 0.500 0.422
Te3 0.211 0.000 0.578
Te4 0.711 0.500 0.578
Rh1 0.140 0.362 0.000
Rh2 0.640 0.138 0.000
Rh3 0.360 0.862 0.000
Rh4 0.860 0.638 0.000

Record 2
VASP calculation (PBE) on a geometry-optimized K3Tl6In2 structure.

Summary:
* M_tot: 0.0 μB per formula unit
* density: 6.6 g/cm³
* DFT formation energy: -0.07 eV/atom
* calculated volume: 791.5 Å³/cell
* E: -2.1597 eV per atom

Unit cell a=10.093 b=10.093 c=10.093 alpha=109.47 beta=109.47 gamma=109.47
Atoms (fractional coordinates):
K1 0.276 0.000 0.276
K2 0.724 0.000 0.724
K3 0.000 0.276 0.276
K4 0.724 0.724 0.000
K5 0.000 0.724 0.724
K6 0.276 0.276 0.000
Tl1 0.661 0.339 0.000
Tl2 0.661 0.661 0.322
Tl3 0.678 0.339 0.339
Tl4 0.339 0.339 0.678
Tl5 0.339 0.661 0.000
Tl6 0.339 0.000 0.661
Tl7 0.661 0.000 0.339
Tl8 0.000 0.661 0.339
Tl9 0.661 0.322 0.661
Tl10 0.322 0.661 0.661
Tl11 0.000 0.339 0.661
Tl12 0.339 0.678 0.339
In1 0.500 0.000 0.000
In2 0.500 0.500 0.500
In3 0.000 0.500 0.000
In4 0.000 0.000 0.500

Record 3
VASP calculation (PBE) on a geometry-optimized Zn2SbMo structure.

Summary:
* M_tot: 0.4 μB per formula unit
* density: 7.5 g/cm³
* E_form (uncorrected): 0.33 eV/atom
* calculated volume: 77.1 Å³/cell
* E: -4.0489 eV per atom

Unit cell a=2.986 b=2.986 c=8.645 alpha=90.00 beta=90.00 gamma=90.02
Site moments in Bohr magnetons follow the coordinates.
Atoms (fractional coordinates):
Mo1 0.000 0.000 0.472  0.37
Sb1 0.500 0.500 0.703  0.00
Zn1 0.500 0.500 0.263  0.00
Zn2 0.000 0.000 0.062  0.00

Record 4
VASP calculation (PBE) on a geometry-optimized Li2ClF structure.

Summary:
* M_tot: 0.0 μB per formula unit
* density: 2.1 g/cm³
* energy above the most stable polymorph in this dataset: 177 meV/atom
* E_form (uncorrected): -2.18 eV/atom
* calculated volume: 53.0 Å³/cell
* E: -4.0668 eV per atom

Unit cell a=3.266 b=3.266 c=6.038 alpha=74.31 beta=74.31 gamma=60.00
Atoms (fractional coordinates):
Cl1 0.668 0.668 0.996
Li1 0.094 0.094 0.718
Li2 0.243 0.243 0.271
F1 0.495 0.495 0.515

Record 5
VASP calculation (PBE) on a geometry-optimized Mg3Cd4Bi structure.

Summary:
* M_tot: 0.0 μB per formula unit
* density: 6.5 g/cm³
* DFT formation energy: -0.06 eV/atom
* calculated volume: 188.0 Å³/cell
* E: -1.6054 eV per atom

Unit cell a=3.365 b=5.466 c=12.781 alpha=63.09 beta=66.74 gamma=89.96
Atoms (fractional coordinates):
Cd1 0.618 0.339 0.255
Cd2 0.757 0.257 0.495
Cd3 0.382 0.661 0.745
Cd4 0.243 0.743 0.505
Mg1 0.500 0.500 0.000
Mg2 0.107 0.852 0.263
Mg3 0.893 0.148 0.737
Bi1 0.000 0.000 0.000

Record 6
VASP calculation (PBE) on a geometry-optimized SrBe2Re structure.

Summary:
* M_tot: 0.8 μB per formula unit
* density: 5.9 g/cm³
* energy above the most stable polymorph in this dataset: 476 meV/atom
* DFT formation energy: 0.80 eV/atom
* calculated volume: 163.3 Å³/cell
* E: -4.5991 eV per atom

Unit cell a=4.538 b=4.538 c=8.553 alpha=74.62 beta=74.62 gamma=90.00
Site moments in Bohr magnetons follow the coordinates.
Atoms (fractional coordinates):
Be1 0.875 0.125 0.250  0.00
Be2 0.375 0.125 0.750  0.00
Be3 0.875 0.125 0.750  0.00
Be4 0.875 0.625 0.250  0.00
Re1 0.750 0.250 0.500  0.70
Re2 0.000 0.000 0.000  0.70
Sr1 0.250 0.750 0.500  0.01
Sr2 0.500 0.500 0.000  0.01